A plane-wave DFT calculation with PBE-GGA was carried out for a relaxed structure of Sr2TlPb6.

size of the total moment: 0.00 μB/atom
crystal system: monoclinic
formation energy from the elements: -0.217 eV/atom
DFT total energy: -3.33 eV per atom

Unit cell a=6.6461 b=7.3183 c=7.3254 alpha=119.97 beta=90.20 gamma=90.00
Element x y z (fractional)
Sr 0.1703 0.6665 0.3331
Sr 0.8297 0.3335 0.6669
Pb 0.6732 0.3666 0.1833
Pb 0.6732 0.8166 0.1833
Tl 0.0000 0.0000 0.0000
Pb 0.3268 0.6334 0.8167
Pb 0.3279 0.1836 0.3672
Pb 0.3268 0.1834 0.8167
Pb 0.6721 0.8164 0.6328